1.
CrSbRu | GGA-PBE | optimized geometry

Output
Space group = No. 44
Formation energy from raw total energies = 290 meV/atom
Raw total energy = -7.38 eV per atom
Crystal system = orthorhombic

Lattice parameters (Å, degrees): 4.793 4.793 4.793 142.58 132.26 62.18
Last column: magnetic moment on the atom in μB.
Positions (direct):
Cr 0.995 0.995 0.000  2.66
Ru 0.337 0.337 0.000  -0.03
Sb 0.668 0.668 0.000  -0.03



2.
CuN | GGA-PBE | optimized geometry

Output
Energy above the most stable polymorph in this dataset = 0.6193 eV per atom
Space group = No. 176
Formation energy from raw total energies = 997 meV/atom
Raw total energy = -5.21 eV per atom
Crystal system = hexagonal

Lattice parameters (Å, degrees): 6.700 6.700 3.619 90.00 90.00 120.00
Positions (direct):
Cu 0.880 0.302 0.250
Cu 0.578 0.880 0.750
Cu 0.698 0.578 0.250
Cu 0.120 0.698 0.750
Cu 0.422 0.120 0.250
Cu 0.302 0.422 0.750
N 0.630 0.989 0.250
N 0.641 0.630 0.750
N 0.011 0.641 0.250
N 0.370 0.011 0.750
N 0.359 0.370 0.250
N 0.989 0.359 0.750



3.
CoBr2Cl | GGA-PBE | optimized geometry

Output
Energy above the most stable polymorph in this dataset = 0.3256 eV per atom
Space group = No. 71
Formation energy from raw total energies = -1 meV/atom
Raw total energy = -3.08 eV per atom
Crystal system = orthorhombic

Lattice parameters (Å, degrees): 6.084 6.084 6.502 57.61 57.61 32.19
Last column: magnetic moment on the atom in μB.
Positions (direct):
Co 0.250 0.250 0.250  1.44
Br 0.916 0.916 0.084  0.03
Br 0.584 0.584 0.416  0.03
Cl 0.750 0.750 0.750  0.34



4.
Cd2TeAu | GGA-PBE | optimized geometry

Output
Space group = No. 122
Formation energy from raw total energies = -41 meV/atom
Raw total energy = -2.10 eV per atom
Crystal system = tetragonal

Lattice parameters (Å, degrees): 5.480 5.480 9.048 72.37 72.37 90.00
Positions (direct):
Te 0.500 0.500 0.000
Te 0.250 0.750 0.500
Au 0.000 0.000 0.000
Au 0.750 0.250 0.500
Cd 0.662 0.125 0.250
Cd 0.088 0.625 0.250
Cd 0.375 0.338 0.750
Cd 0.875 0.912 0.750



5.
BeC | GGA-PBE | optimized geometry

Output
Energy above the most stable polymorph in this dataset = 0.7600 eV per atom
Space group = No. 59
Formation energy = 1.079 eV per atom
Raw total energy = -5.40 eV per atom
Crystal system = orthorhombic

Lattice parameters (Å, degrees): 1.957 3.014 5.982 90.00 90.00 90.00
Positions (direct):
Be 0.000 0.000 0.216
Be 0.500 0.500 0.534
C 0.000 0.000 0.581
C 0.500 0.500 0.169



6.
SrHfHO2 | GGA-PBE | optimized geometry

Output
Space group = No. 123
Raw total energy = -7.21 eV per atom
Crystal system = tetragonal

Lattice parameters (Å, degrees): 4.196 4.196 3.848 90.00 90.00 90.00
Positions (direct):
Sr 0.500 0.500 0.500
Hf 0.000 0.000 0.000
O 0.000 0.500 0.000
O 0.500 0.000 0.000
H 0.000 0.000 0.500